First-principles (meta-GGA SCAN) data for CaSi2SbRu at its PBEsol-relaxed geometry, as listed in Alexandria.

```
5
Lattice="4.9227 0.0000 0.0000 0.0000 4.9227 0.0000 0.0000 0.0000 5.3652" Properties=species:S:1:pos:R:3 pbc="T T T"
Sb 0.0000 0.0000 2.6826
Ca 0.0000 0.0000 0.0000
Si 0.0000 2.4614 0.0000
Si 2.4614 0.0000 0.0000
Ru 2.4614 2.4614 2.6826
```

* spin magnetization: 0.465 μB per atom
* total energy: -18.34 eV/atom
* V: 130.0 Å³/cell
* crystal system: tetragonal